Compound: Ac2TlGe3Pt4
Source: Alexandria via LeMat-Bulk
Functional: PBE
Structure: optimized geometry

Cell: 4.521 4.521 10.652 Å, 90.00 90.00 90.00°
Fractional coordinates of all 10 atoms:
Ac 0.000 0.500 0.758
Pt 0.500 0.000 0.651
Ge 0.500 0.000 0.883
Pt 0.000 0.000 0.000
Ge 0.000 0.500 0.117
Pt 0.000 0.500 0.349
Ac 0.500 0.000 0.242
Ge 0.000 0.000 0.500
Tl 0.500 0.500 0.500
Pt 0.500 0.500 0.000

Summary:
Spin magnetization in Bohr magnetons per cell: 0.0
Symmetry: P-4m2, No. 115
Theoretical density in Mg/m³: 12.6
Uncorrected energy in eV per atom: -5.681